This record from Alexandria describes a geometry-optimized HfBiSb2Te structure. The functional is PBE-GGA.

## Properties
total energy	-4.793	eV per atom
Fermi-level density of states	5.5	states/eV/f.u.
relative energy among the computed polymorphs	0	meV per atom
spin magnetization	0.0000	μB per atom
crystal system	tetragonal
calculated volume	33.82	Å³ per atom
E_form (uncorrected)	251	meV per atom

Unit cell a=5.585 b=5.585 c=5.421 alpha=90.00 beta=90.00 gamma=90.00
Element x y z (fractional)
Sb1 0.000 0.500 0.000
Sb2 0.500 0.000 0.000
Te1 0.000 0.000 0.500
Hf1 0.000 0.000 0.000
Bi1 0.500 0.500 0.500